No. 1
Sr2NdHg8 | GGA-PBE | relaxed

Results
ΔH_f (0 K) = -0.39 eV/atom
VASP energy = -1.348 eV/atom
Symmetry = No. 12
V = 27.5 A^3/atom

Geometry as extended XYZ:
```
11
Lattice="5.068 0.000 -1.539 -1.043 6.677 -3.435 0.030 -0.523 9.215" Properties=species:S:1:pos:R:3 pbc="T T T"
Hg 1.816 1.363 5.982
Hg 3.458 5.256 2.274
Hg 2.239 4.792 -1.740
Hg -0.259 2.019 -0.853
Hg 0.597 0.898 1.967
Hg 4.315 4.136 5.094
Hg 2.924 2.826 0.515
Hg 1.131 3.329 3.726
Nd 2.534 0.000 -0.769
Sr 3.778 1.251 3.328
Sr 0.277 4.903 0.913
```


No. 2
AcEuTlCd | GGA-PBE | relaxed

Results
ΔH_f (0 K) = -0.38 eV/atom
VASP energy = -4.795 eV/atom
Symmetry = No. 216
V = 33.1 A^3/atom

Geometry as extended XYZ:
```
4
Lattice="-2.904 2.304 4.356 -2.624 -3.381 3.795 2.026 -0.426 5.332" Properties=species:S:1:pos:R:3 pbc="T T T"
Cd -2.626 -1.127 10.112
Ac 0.000 0.000 0.000
Tl -0.875 -0.376 3.371
Eu -1.751 -0.751 6.741
```


No. 3
PmTm4Ni4 | GGA-PBE | relaxed

Results
ΔH_f (0 K) = -0.28 eV/atom
VASP energy = -5.367 eV/atom
Symmetry = No. 86
V = 22.5 A^3/atom

Geometry as extended XYZ:
```
18
Lattice="5.482 0.000 0.000 0.000 8.588 0.000 0.000 0.000 8.588" Properties=species:S:1:pos:R:3 pbc="T T T"
Tm 2.200 2.792 7.806
Tm 3.282 0.782 2.792
Tm 4.942 5.076 7.086
Tm 0.541 7.086 3.512
Tm 2.200 5.796 0.782
Tm 0.541 1.502 5.076
Tm 3.282 7.806 5.796
Tm 4.942 3.512 1.502
Ni 2.147 3.112 1.871
Ni 2.147 5.476 6.717
Ni 4.888 6.165 1.182
Ni 0.594 7.406 6.165
Ni 3.335 6.717 3.112
Ni 4.888 2.423 7.406
Ni 3.335 1.871 5.476
Ni 0.594 1.182 2.423
Pm 0.000 0.000 0.000
Pm 2.741 4.294 4.294
```


No. 4
ScPtPb2 | GGA-PBE | relaxed

Results
ΔH_f (0 K) = -0.16 eV/atom
VASP energy = -5.107 eV/atom
Symmetry = No. 225
Energy above the most stable polymorph in this dataset = 336.8 meV/atom
V = 22.6 A^3/atom

Geometry as extended XYZ:
```
4
Lattice="-4.259 -0.014 2.685 -4.291 1.620 -2.077 -3.659 -3.279 -1.100" Properties=species:S:1:pos:R:3 pbc="T T T"
Pb -3.052 -0.418 -0.123
Pb -9.157 -1.255 -0.369
Sc 0.000 0.000 0.000
Pt -6.104 -0.837 -0.246
```


No. 5
BaZn2Cd6 | GGA-PBE | relaxed

Results
ΔH_f (0 K) = -0.16 eV/atom
VASP energy = -1.265 eV/atom
Symmetry = No. 123
Energy above the most stable polymorph in this dataset = 0.0 meV/atom
V = 24.0 A^3/atom

Geometry as extended XYZ:
```
9
Lattice="4.675 0.000 0.000 0.000 4.675 0.000 0.000 0.000 9.871" Properties=species:S:1:pos:R:3 pbc="T T T"
Cd 2.338 2.338 4.935
Cd 0.000 2.338 2.858
Cd 0.000 2.338 7.012
Cd 2.338 0.000 7.012
Cd 2.338 0.000 2.858
Cd 0.000 0.000 4.935
Zn 2.338 2.338 1.288
Zn 2.338 2.338 8.583
Ba 0.000 0.000 0.000
```


No. 6
Ti2Ag2S | GGA-PBE | relaxed

Results
VASP energy = -5.418 eV/atom
Symmetry = No. 127
Energy relative to the elements, uncorrected = -0.2943 eV per atom
V = 17.9 A^3/atom

Geometry as extended XYZ:
```
10
Lattice="6.217 0.000 0.000 0.000 6.217 0.000 0.000 0.000 4.637" Properties=species:S:1:pos:R:3 pbc="T T T"
Ag 0.951 4.060 2.319
Ag 2.158 0.951 2.319
Ag 4.060 5.266 2.319
Ag 5.266 2.158 2.319
Ti 5.238 4.088 0.000
Ti 0.979 2.129 0.000
Ti 2.129 5.238 0.000
Ti 4.088 0.979 0.000
S 3.109 3.109 0.000
S 0.000 0.000 0.000
```


No. 7
Er2Ga5Ru | GGA-PBE | relaxed

Results
ΔH_f (0 K) = -0.41 eV/atom
VASP energy = -4.606 eV/atom
Symmetry = No. 107
V = 19.2 A^3/atom

Geometry as extended XYZ:
```
8
Lattice="-2.760 -2.213 -4.783 5.949 0.032 -0.018 -0.403 -3.068 5.081" Properties=species:S:1:pos:R:3 pbc="T T T"
Ga 4.151 -0.870 1.465
Ga 1.441 -2.192 3.640
Ga 0.030 -2.152 -1.270
Ga 1.372 -0.751 1.252
Ga 2.802 -3.123 1.592
Er 3.021 -1.872 -1.098
Er -0.155 -3.422 1.452
Ru 5.234 -2.866 4.778
```


No. 8
DyTh4C4 | GGA-PBE | relaxed

Results
ΔH_f (0 K) = -0.27 eV/atom
VASP energy = -8.175 eV/atom
Symmetry = No. 87
V = 20.6 A^3/atom

Geometry as extended XYZ:
```
9
Lattice="4.971 0.000 1.993 2.443 5.880 1.103 0.297 -0.113 6.454" Properties=species:S:1:pos:R:3 pbc="T T T"
Dy 0.000 0.000 0.000
C 4.100 1.198 4.164
C 3.610 4.569 5.386
C 5.713 2.226 7.336
C 1.997 3.541 2.213
Th 6.133 4.627 6.289
Th 1.578 1.140 3.261
Th 4.504 3.441 3.156
Th 3.206 2.326 6.394
```


- Which of these has the lowest VASP energy?
  DyTh4C4